# PBE with a Hubbard U Co2Ge3O8, relaxed
data_Co2Ge3O8
_space_group_name_H-M_alt 'P 1'
_space_group_IT_number 1
_cell_length_a 4.9790
_cell_length_b 5.7504
_cell_length_c 5.7504
_cell_angle_alpha 60.62
_cell_angle_beta 81.10
_cell_angle_gamma 81.10
loop_
_space_group_symop_operation_xyz
'x,y,z'
loop_
_atom_site_label
_atom_site_type_symbol
_atom_site_fract_x
_atom_site_fract_y
_atom_site_fract_z
O1 O 0.3616 0.1100 0.6604
O2 O 0.8903 0.3960 0.3960
O3 O 0.1097 0.6040 0.6040
O4 O 0.3616 0.6604 0.1100
O5 O 0.8615 0.9009 0.9009
O6 O 0.6384 0.8900 0.3396
O7 O 0.6384 0.3396 0.8900
O8 O 0.1385 0.0991 0.0991
Co1 Co 0.4198 0.7062 0.7062
Co2 Co 0.5802 0.2938 0.2938
Ge1 Ge 0.0000 0.2583 0.7417
Ge2 Ge 0.5000 0.0000 0.0000
Ge3 Ge 0.0000 0.7417 0.2583
# M_tot   5.924 μB/cell
# Crystal system   monoclinic
# Calculated volume   10.9 Å³/atom
# Uncorrected energy   -6.341 eV/atom